VASP calculation (PBE) on Na3MgCu after structural relaxation.

a b c (Å): 5.7915 5.7915 5.7915
angles (deg): 90.00 90.00 90.00
Fractional positions:
Mg 0.0000 0.0000 0.0000
Na 0.5000 0.0000 0.0000
Cu 0.5000 0.5000 0.5000
Na 0.0000 0.0000 0.5000
Na 0.0000 0.5000 0.0000

## Properties
- Relative energy among the computed polymorphs: 364.9 meV/atom
- Energy: -6.1 eV per cell
- DFT formation energy: 0.718 eV per atom

---

VASP calculation (PBE) on GaAg2Pd2 after structural relaxation.

a b c (Å): 6.3834 6.3834 4.3312
angles (deg): 90.00 90.00 90.00
Fractional positions:
Pd 0.6464 0.1464 0.0000
Ag 0.1594 0.6594 0.5000
Ga 0.0000 0.0000 0.0000
Ag 0.8406 0.3406 0.5000
Pd 0.8536 0.6464 0.0000
Pd 0.3536 0.8536 0.0000
Ag 0.6594 0.8406 0.5000
Pd 0.1464 0.3536 0.0000
Ag 0.3406 0.1594 0.5000
Ga 0.5000 0.5000 0.0000

## Properties
- Relative energy among the computed polymorphs: 0.0 meV/atom
- Energy: -40.3 eV per cell
- DFT formation energy: -0.210 eV per atom

---

VASP calculation (PBE) on KLiMn after structural relaxation.

a b c (Å): 5.5314 5.5314 5.5314
angles (deg): 60.00 60.00 60.00
Last column: magnetic moment on the atom in μB.
Fractional positions:
Mn 0.5000 0.5000 0.5000  4.30
Li 0.0000 0.0000 0.0000  -0.02
K 0.7500 0.7500 0.7500  0.00

## Properties
- Relative energy among the computed polymorphs: 485.6 meV/atom
- Energy: -8.7 eV per cell
- DFT formation energy: 1.160 eV per atom

---

VASP calculation (PBE) on Sr5CaBr12 after structural relaxation.

a b c (Å): 7.8810 7.9033 13.8309
angles (deg): 89.96 89.91 60.09
Fractional positions:
Br 0.6804 0.3198 0.1108
Ca 0.0000 0.0000 0.0000
Sr 0.1666 0.6669 0.5000
Br 0.9998 0.3198 0.8892
Sr 0.8334 0.3331 0.5000
Sr 0.6666 0.6667 0.0000
Sr 0.3334 0.3333 0.0000
Br 0.3197 0.6802 0.8892
Br 0.4990 0.3336 0.6153
Sr 0.5000 0.0000 0.5000
Br 0.5010 0.6664 0.3847
Br 0.3198 0.0000 0.1108
Br 0.1661 0.0000 0.6151
Br 0.8339 0.0000 0.3849
Br 0.0002 0.6802 0.1108
Br 0.6802 0.0000 0.8892
Br 0.8325 0.6664 0.6153
Br 0.1675 0.3336 0.3847

## Properties
- Energy: -68.2 eV per cell
- E_form (uncorrected): -2.097 eV/atom

---

> Among the records above, which one has the lowest energy?

Sr5CaBr12